<1>
A relaxed KMoSe3 crystal, computed with PBE-GGA.

abc: 5.0449 5.0449 5.0449
angles: 90.00 90.00 90.00
Closest atoms and distances in Å follow each position.
Positions (direct):
1 Mo 0.0000 0.0000 0.0000  6 Se 2.52
2 K 0.5000 0.5000 0.5000  12 Se 3.57
3 Se 0.0000 0.5000 0.0000  2 Mo 2.52
4 Se 0.0000 0.0000 0.5000  2 Mo 2.52
5 Se 0.5000 0.0000 0.0000  2 Mo 2.52

Properties
SG = Pm-3m (221)

=====

<2>
A relaxed KMoSe3 crystal, computed with PBE-GGA.

abc: 5.6438 5.6438 5.6438
angles: 90.00 90.00 90.00
Closest atoms and distances in Å follow each position.
Positions (direct):
1 Mo 0.5000 0.5000 0.5000  12 Se 3.99
2 K 0.0000 0.0000 0.0000  6 Se 2.82
3 Se 0.0000 0.5000 0.0000  2 K 2.82
4 Se 0.0000 0.0000 0.5000  2 K 2.82
5 Se 0.5000 0.0000 0.0000  2 K 2.82

Properties
SG = Pm-3m (221)

=====

Q: Which of them is the least stable? A: <2>.

=====

<1>
A relaxed KSiMo crystal, computed with PBE-GGA.

abc: 6.8136 6.8136 6.8136
angles: 150.82 150.82 41.75
Closest atoms and distances in Å follow each position.
Positions (direct):
1 K 0.9971 0.9971 0.0000  1 Si 3.24, 1 Mo 3.35, 4 K 3.43
2 Mo 0.2604 0.2604 0.0000  4 Si 2.44
3 Si 0.7426 0.7426 0.0000  4 Mo 2.44

Properties
SG = I4mm (107)

=====

<2>
A relaxed KSiMo crystal, computed with PBE-GGA.

abc: 7.9510 7.8399 2.8429
angles: 81.84 77.43 20.73
Closest atoms and distances in Å follow each position.
Positions (direct):
1 K 0.0078 0.0078 0.9922  4 K 2.84
2 Mo 0.3057 0.3057 0.6943  2 Si 2.55, 4 Mo 2.84
3 Si 0.6865 0.6865 0.3135  2 Mo 2.55, 4 Si 2.84

Properties
SG = Fmm2 (42)

=====

<3>
A relaxed KSiMo crystal, computed with PBE-GGA.

abc: 2.9619 2.9619 7.9095
angles: 90.00 90.00 120.00
Closest atoms and distances in Å follow each position.
Positions (direct):
1 K 0.0000 0.0000 0.9885  6 K 2.96, 3 Si 3.31
2 Mo 0.6667 0.3333 0.3815  3 Si 2.60
3 Si 0.3333 0.6667 0.6299  3 Mo 2.60

Properties
SG = P3m1 (156)

=====

Q: Which of them is the least stable? A: <3>.

=====

<1>
A relaxed KSi3Mo crystal, computed with PBE-GGA.

abc: 4.8180 4.8180 4.8180
angles: 90.00 90.00 90.00
Closest atoms and distances in Å follow each position.
Positions (direct):
1 Mo 0.0000 0.0000 0.0000  6 Si 2.41
2 Si 0.0000 0.5000 0.0000  2 Mo 2.41
3 Si 0.0000 0.0000 0.5000  2 Mo 2.41
4 Si 0.5000 0.0000 0.0000  2 Mo 2.41
5 K 0.5000 0.5000 0.5000  12 Si 3.41

Properties
SG = Pm-3m (221)

=====

<2>
A relaxed KSi3Mo crystal, computed with PBE-GGA.

abc: 5.0370 5.0370 5.0370
angles: 90.00 90.00 90.00
Closest atoms and distances in Å follow each position.
Positions (direct):
1 Mo 0.5000 0.5000 0.5000  12 Si 3.56
2 Si 0.0000 0.5000 0.0000  2 K 2.52
3 Si 0.0000 0.0000 0.5000  2 K 2.52
4 Si 0.5000 0.0000 0.0000  2 K 2.52
5 K 0.0000 0.0000 0.0000  6 Si 2.52

Properties
SG = Pm-3m (221)

=====

Q: Which of them is the least stable? A: <2>.

=====

<1>
A relaxed KSrMo2 crystal, computed with PBE-GGA.

abc: 6.3851 6.3851 6.3851
angles: 144.02 144.02 51.79
Closest atoms and distances in Å follow each position.
Positions (direct):
1 K 0.7500 0.2500 0.5000  4 Sr 2.79
2 Mo 0.0000 0.0000 0.0000  4 Mo 2.79
3 Mo 0.5000 0.5000 0.0000  4 Mo 2.79
4 Sr 0.2500 0.7500 0.5000  4 K 2.79

Properties
SG = I4/mmm (139)

=====

<2>
A relaxed KSrMo2 crystal, computed with PBE-GGA.

abc: 6.6596 6.6596 6.6596
angles: 150.05 126.36 62.66
Closest atoms and distances in Å follow each position.
Positions (direct):
1 K 0.2246 0.7246 0.5000  2 K 3.44, 6 Mo 3.59, 4 Sr 3.77-3.80
2 Mo 0.9479 0.9479 0.0000  2 Mo 2.35
3 Mo 0.8076 0.3076 0.5000  2 Mo 2.35
4 Sr 0.5198 0.5198 0.0000  2 Sr 3.44, 6 Mo 3.56-3.70, 4 K 3.77-3.80

Properties
SG = Imm2 (44)

=====

<3>
A relaxed KSrMo2 crystal, computed with PBE-GGA.

abc: 6.2013 6.2013 7.8246
angles: 76.03 76.03 30.91
Closest atoms and distances in Å follow each position.
Positions (direct):
1 K 0.2500 0.2500 0.2500  2 K 3.30
2 Mo 0.9915 0.9915 0.8604  2 Mo 2.36
3 Mo 0.5085 0.5085 0.6396  2 Mo 2.36
4 Sr 0.7500 0.7500 0.7500  6 Mo 3.21-3.42, 2 Sr 3.30

Properties
SG = C2/m (12)

=====

<4>
A relaxed KSrMo2 crystal, computed with PBE-GGA.

abc: 4.4931 4.4931 9.5152
angles: 84.99 84.99 44.02
Closest atoms and distances in Å follow each position.
Positions (direct):
1 K 0.2682 0.2682 0.1814  2 K 3.37, 3 Mo 3.47-3.69
2 Mo 0.0310 0.0310 0.9012  3 Mo 2.41-2.70
3 Mo 0.7272 0.7272 0.8230  3 Mo 2.41-2.70
4 Sr 0.4736 0.4736 0.5944  5 Mo 3.17-3.44, 2 Sr 3.37

Properties
SG = Cm (8)

=====

Q: Which of them is the least stable? A: <1>.

=====

<1>
A relaxed KSrMo2 crystal, computed with PBE-GGA.

abc: 8.9923 8.9923 6.9339
angles: 49.58 49.58 90.00
Closest atoms and distances in Å follow each position.
Positions (direct):
1 Sr 0.0000 0.0000 0.0000  2 K 2.77
2 Sr 0.7500 0.2500 0.5000  2 K 2.77
3 Mo 0.6246 0.1250 0.2500  2 Mo 2.77
4 Mo 0.1254 0.6250 0.2500  2 Mo 2.77
5 Mo 0.3750 0.3754 0.7500  2 Mo 2.77
6 Mo 0.8750 0.8746 0.7500  2 Mo 2.77
7 K 0.5000 0.5000 0.0000  2 Sr 2.77
8 K 0.2500 0.7500 0.5000  2 Sr 2.77

Properties
SG = I-42d (122)

=====

<2>
A relaxed KSrMo2 crystal, computed with PBE-GGA.

abc: 6.3822 6.3822 2.8161
angles: 90.00 90.00 128.32
Closest atoms and distances in Å follow each position.
Positions (direct):
1 K 0.0000 0.5000 0.5000  2 Sr 2.78, 2 K 2.82
2 Mo 0.0000 0.0000 0.0000  4 Mo 2.78-2.82
3 Mo 0.5000 0.5000 0.0000  4 Mo 2.78-2.82
4 Sr 0.5000 0.0000 0.5000  2 K 2.78, 2 Sr 2.82

Properties
SG = Cmmm (65)

=====

<3>
A relaxed KSrMo2 crystal, computed with PBE-GGA.

abc: 3.3786 3.4064 10.8274
angles: 73.55 90.00 90.00
Closest atoms and distances in Å follow each position.
Positions (direct):
1 K 0.5000 0.7133 0.8091  4 K 3.38-3.41, 4 Mo 3.70-3.77
2 Mo 0.0000 0.9449 0.0846  4 Mo 2.49-2.79
3 Mo 0.5000 0.2836 0.1894  4 Mo 2.49-2.79
4 Sr 0.0000 0.5581 0.4169  5 Mo 3.33-3.46, 4 Sr 3.38-3.41

Properties
SG = Pm (6)

=====

<4>
A relaxed KSrMo2 crystal, computed with PBE-GGA.

abc: 5.5038 5.5038 5.5038
angles: 60.00 60.00 60.00
Closest atoms and distances in Å follow each position.
Positions (direct):
1 Sr 0.5000 0.5000 0.5000  8 Mo 3.37
2 Mo 0.2500 0.2500 0.2500  4 K 3.37, 4 Sr 3.37
3 Mo 0.7500 0.7500 0.7500  4 K 3.37, 4 Sr 3.37
4 K 0.0000 0.0000 0.0000  8 Mo 3.37

Properties
SG = Fm-3m (225)

=====

Q: Which of them is the least stable? A: <4>.

=====

<1>
A relaxed KSrMo2 crystal, computed with PBE-GGA.

abc: 3.9104 3.9104 8.3320
angles: 90.00 90.00 90.00
Closest atoms and distances in Å follow each position.
Positions (direct):
1 K 0.5000 0.5000 0.7500  8 Mo 3.67, 4 K 3.91
2 Mo 0.0000 0.0000 0.0396  4 Sr 3.27, 1 Mo 3.51
3 Mo 0.0000 0.0000 0.4604  4 Sr 3.27, 1 Mo 3.51
4 Sr 0.5000 0.5000 0.2500  8 Mo 3.27

Properties
SG = P4/mmm (123)

=====

<2>
A relaxed KSrMo2 crystal, computed with PBE-GGA.

abc: 3.0889 5.5608 7.5422
angles: 90.00 90.00 90.00
Closest atoms and distances in Å follow each position.
Positions (direct):
1 K 0.5000 0.5000 0.7500  2 K 3.09
2 Mo 0.0000 0.0000 0.1053  1 Mo 2.18
3 Mo 0.0000 0.0000 0.3947  1 Mo 2.18
4 Sr 0.5000 0.5000 0.2500  2 Sr 3.09, 8 Mo 3.36

Properties
SG = Pmmm (47)

=====

Q: Which of them is the least stable? A: <1>.

=====

<1>
A relaxed KSr3Mo crystal, computed with PBE-GGA.

abc: 6.2922 6.2922 6.2922
angles: 90.00 90.00 90.00
Closest atoms and distances in Å follow each position.
Positions (direct):
1 Sr 0.0000 0.5000 0.0000  2 K 3.15
2 Sr 0.0000 0.0000 0.5000  2 K 3.15
3 Sr 0.5000 0.0000 0.0000  2 K 3.15
4 Mo 0.5000 0.5000 0.5000  12 Sr 4.45
5 K 0.0000 0.0000 0.0000  6 Sr 3.15

Properties
SG = Pm-3m (221)

=====

<2>
A relaxed KSr3Mo crystal, computed with PBE-GGA.

abc: 6.1705 6.1705 6.1705
angles: 90.00 90.00 90.00
Closest atoms and distances in Å follow each position.
Positions (direct):
1 Sr 0.0000 0.5000 0.0000  2 Mo 3.09
2 Sr 0.0000 0.0000 0.5000  2 Mo 3.09
3 Sr 0.5000 0.0000 0.0000  2 Mo 3.09
4 Mo 0.0000 0.0000 0.0000  6 Sr 3.09
5 K 0.5000 0.5000 0.5000  12 Sr 4.36

Properties
SG = Pm-3m (221)

=====

Q: Which of them is the least stable? A: <1>.

=====

<1>
A relaxed KTaMo crystal, computed with PBE-GGA.

abc: 8.9693 8.9693 8.9693
angles: 162.31 162.31 25.12
Closest atoms and distances in Å follow each position.
Positions (direct):
1 K 0.9951 0.9951 0.0000  4 K 2.76
2 Mo 0.3165 0.3165 0.0000  4 Mo 2.76, 4 Ta 2.97
3 Ta 0.6884 0.6884 0.0000  4 Ta 2.76, 4 Mo 2.97

Properties
SG = I4mm (107)

=====

<2>
A relaxed KTaMo crystal, computed with PBE-GGA.

abc: 2.8728 2.8728 8.9226
angles: 90.00 90.00 120.00
Closest atoms and distances in Å follow each position.
Positions (direct):
1 K 0.0000 0.0000 0.0053  6 K 2.87
2 Mo 0.6667 0.3333 0.3576  6 Mo 2.87, 3 Ta 3.00
3 Ta 0.3333 0.6667 0.6372  6 Ta 2.87, 3 Mo 3.00

Properties
SG = P3m1 (156)

=====

Q: Which of them is the least stable? A: <1>.

=====

<1>
A relaxed KTc2Mo crystal, computed with PBE-GGA.

abc: 2.7663 2.7663 10.2133
angles: 90.00 90.00 111.19
Closest atoms and distances in Å follow each position.
Positions (direct):
1 K 0.5000 0.5000 0.2500  4 K 2.77
2 Mo 0.5000 0.5000 0.7500  4 Tc 2.62, 4 Mo 2.77
3 Tc 0.0000 0.0000 0.9561  2 Mo 2.62, 4 Tc 2.77
4 Tc 0.0000 0.0000 0.5439  2 Mo 2.62, 4 Tc 2.77

Properties
SG = Cmmm (65)

=====

<2>
A relaxed KTc2Mo crystal, computed with PBE-GGA.

abc: 4.9917 4.9917 6.6777
angles: 81.52 81.52 34.87
Closest atoms and distances in Å follow each position.
Positions (direct):
1 K 0.4982 0.4982 0.5042  2 K 2.99
2 Mo 0.2884 0.2884 0.1259  4 Tc 2.43-2.54
3 Tc 0.9988 0.9988 0.9960  2 Mo 2.54, 2 Tc 2.57
4 Tc 0.7147 0.7147 0.8739  2 Mo 2.43, 2 Tc 2.57

Properties
SG = Cm (8)

=====

<3>
A relaxed KTc2Mo crystal, computed with PBE-GGA.

abc: 2.7900 2.7900 9.9389
angles: 90.00 90.00 90.00
Closest atoms and distances in Å follow each position.
Positions (direct):
1 K 0.0000 0.0000 0.4909  4 K 2.79
2 Mo 0.5000 0.5000 0.8133  4 Tc 2.77, 4 Mo 2.79
3 Tc 0.0000 0.0000 0.0096  8 Tc 2.64-2.79, 4 Mo 2.77
4 Tc 0.5000 0.5000 0.1862  8 Tc 2.64-2.79

Properties
SG = P4mm (99)

=====

<4>
A relaxed KTc2Mo crystal, computed with PBE-GGA.

abc: 4.5850 4.5850 4.5850
angles: 60.00 60.00 60.00
Closest atoms and distances in Å follow each position.
Positions (direct):
1 K 0.0000 0.0000 0.0000  8 Tc 2.81
2 Mo 0.5000 0.5000 0.5000  8 Tc 2.81
3 Tc 0.2500 0.2500 0.2500  4 Mo 2.81, 4 K 2.81
4 Tc 0.7500 0.7500 0.7500  4 K 2.81, 4 Mo 2.81

Properties
SG = Fm-3m (225)

=====

Q: Which of them is the least stable? A: <4>.

=====

<1>
A relaxed KTc2Mo crystal, computed with PBE-GGA.

abc: 2.7931 4.9687 4.9391
angles: 90.00 90.00 90.00
Closest atoms and distances in Å follow each position.
Positions (direct):
1 K 0.5000 0.0000 0.5000  2 K 2.79, 4 Tc 2.84, 4 Mo 2.85
2 Mo 0.0000 0.5000 0.5000  2 Mo 2.79, 4 Tc 2.84, 4 K 2.85
3 Tc 0.0000 0.0000 0.0000  6 Tc 2.79-2.85, 4 K 2.84
4 Tc 0.5000 0.5000 0.0000  6 Tc 2.79-2.85, 4 Mo 2.84

Properties
SG = Pmmm (47)

=====

<2>
A relaxed KTc2Mo crystal, computed with PBE-GGA.

abc: 3.1408 3.1408 8.5464
angles: 90.00 90.00 90.00
Closest atoms and distances in Å follow each position.
Positions (direct):
1 K 0.5000 0.5000 0.2500  4 K 3.14
2 Mo 0.5000 0.5000 0.7500  8 Tc 2.62
3 Tc 0.0000 0.0000 0.9127  4 Mo 2.62, 1 Tc 2.78
4 Tc 0.0000 0.0000 0.5873  4 Mo 2.62, 1 Tc 2.78

Properties
SG = P4/mmm (123)

=====

Q: Which of them is the least stable? A: <1>.

=====

<1>
A relaxed KTc2Mo2 crystal, computed with PBE-GGA.

abc: 8.1635 8.1635 2.7511
angles: 90.00 90.00 90.00
Closest atoms and distances in Å follow each position.
Positions (direct):
1 K 0.0000 0.0000 0.0000  2 K 2.75
2 K 0.5000 0.5000 0.0000  2 K 2.75
3 Mo 0.1391 0.6391 0.5000  6 Tc 2.70-2.84, 2 Mo 2.75
4 Mo 0.6391 0.8609 0.5000  6 Tc 2.70-2.84, 2 Mo 2.75
5 Mo 0.8609 0.3609 0.5000  6 Tc 2.70-2.84, 2 Mo 2.75
6 Mo 0.3609 0.1391 0.5000  6 Tc 2.70-2.84, 2 Mo 2.75
7 Tc 0.3546 0.8546 0.0000  6 Mo 2.70-2.84, 2 Tc 2.75
8 Tc 0.8546 0.6454 0.0000  6 Mo 2.70-2.84, 2 Tc 2.75
9 Tc 0.6454 0.1454 0.0000  6 Mo 2.70-2.84, 2 Tc 2.75
10 Tc 0.1454 0.3546 0.0000  6 Mo 2.70-2.84, 2 Tc 2.75

Properties
SG = P4/mbm (127)

=====

<2>
A relaxed KTc2Mo2 crystal, computed with PBE-GGA.

abc: 4.2940 4.2940 6.4125
angles: 70.44 70.44 90.00
Closest atoms and distances in Å follow each position.
Positions (direct):
1 K 0.0000 0.0000 0.0000  8 Tc 3.37, 8 Mo 3.55
2 Mo 0.7500 0.2500 0.5000  4 Tc 2.54
3 Mo 0.2500 0.7500 0.5000  4 Tc 2.54
4 Tc 0.3703 0.3703 0.2594  4 Mo 2.54
5 Tc 0.6297 0.6297 0.7406  4 Mo 2.54

Properties
SG = I4/mmm (139)

=====

Q: Which of them is the least stable? A: <2>.